Record 1
10
Lattice="-0.229 -1.083 -8.358 5.558 -6.304 0.665 -7.484 -0.483 4.520" Properties=species:S:1:pos:R:3 comment="Hg2TeI2 | Alexandria via LeMat-Bulk | PBE-GGA | relaxed" de_polymorph_mev_per_atom=8.6 pbc="T T T"
Te -2.807 -2.876 -3.803
Te -0.283 -0.245 0.040
I -2.433 -4.914 0.704
I 1.183 -5.198 -5.719
I -5.236 -1.735 0.368
I 1.296 -4.661 -1.576
Hg -0.463 -2.902 0.389
Hg -4.059 -3.275 2.876
Hg -4.185 -3.872 -1.724
Hg 2.596 -6.372 0.755

---

Record 2
5
Lattice="5.187 0.000 0.000 0.000 5.838 0.000 0.000 0.000 5.187" Properties=species:S:1:pos:R:3 comment="RbSrTeW2 | Alexandria via LeMat-Bulk | PBE-GGA | relaxed" dos_at_fermi_per_ev_cell=5.07 de_polymorph_mev_per_atom=382.6 pbc="T T T"
Rb 0.000 2.919 0.000
W 0.000 0.000 2.593
W 2.593 0.000 0.000
Sr 0.000 0.000 0.000
Te 2.593 2.919 2.593

---

Record 3
4
Lattice="4.673 0.000 0.000 2.336 4.047 0.000 2.336 1.349 3.815" Properties=species:S:1:pos:R:3 comment="ScPaReSi | Alexandria via LeMat-Bulk | PBE-GGA | relaxed" dos_at_fermi_per_ev_cell=4.61 pbc="T T T"
Pa 0.000 0.000 0.000
Re 2.336 1.349 0.954
Sc 7.009 4.047 2.861
Si 4.673 2.698 1.908

---

Record 4
8
Lattice="-0.666 4.576 5.218 -0.426 -6.957 -0.174 6.747 1.374 -1.094" Properties=species:S:1:pos:R:3 comment="Cd4SnPb3 | Alexandria via LeMat-Bulk | PBE-GGA | relaxed" dos_at_fermi_per_ev_cell=3.44 delta_e_f_mev_per_atom=108 pbc="T T T"
Cd 6.058 -2.084 0.327
Cd 1.141 0.791 2.206
Cd 0.590 -0.411 4.753
Cd 3.773 -0.066 0.785
Pb 1.928 -2.351 2.509
Pb 4.828 2.420 2.187
Pb 5.554 5.434 3.766
Sn 3.256 -2.698 -0.569

---

Record 5
4
Lattice="-0.781 -2.450 -2.283 -0.594 -2.206 2.570 -6.366 1.890 0.151" Properties=species:S:1:pos:R:3 comment="PaNi2Bi | Alexandria via LeMat-Bulk | PBE-GGA | relaxed" dos_at_fermi_per_ev_cell=3.60 delta_e_f_mev_per_atom=-101 de_polymorph_mev_per_atom=111.2 pbc="T T T"
Bi -3.871 -1.383 0.219
Ni -4.996 1.483 0.118
Ni -1.371 0.407 0.032
Pa -0.688 -2.328 0.143

---

Record 6
10
Lattice="-3.151 -1.540 -2.372 0.440 -3.775 1.866 -7.058 2.885 7.501" Properties=species:S:1:pos:R:3 comment="Th2Si3SnPd4 | Alexandria via LeMat-Bulk | PBE-GGA | relaxed" dos_at_fermi_per_ev_cell=3.54 pbc="T T T"
Pd -2.255 -0.876 3.563
Pd -1.355 -2.657 -0.253
Pd 0.000 0.000 0.000
Pd -6.159 1.104 3.685
Si -0.666 -1.525 1.875
Si -7.747 1.753 5.373
Si -3.529 1.443 3.751
Th -3.219 -0.098 0.561
Th -5.194 0.326 6.687
Sn -4.885 -1.215 3.497

---

Record 7
4
Lattice="5.174 0.000 0.000 0.000 3.237 0.056 0.000 0.981 5.559" Properties=species:S:1:pos:R:3 comment="Zr2ScSb | Alexandria via LeMat-Bulk | PBE-GGA | relaxed" dos_at_fermi_per_ev_cell=5.11 pbc="T T T"
Sb 2.587 1.055 1.404
Zr 0.000 0.251 0.022
Zr 0.000 1.858 2.785
Sc 2.587 3.164 4.211

---

Record 8
4
Lattice="-1.435 0.468 -4.300 -2.813 -3.880 0.516 -3.608 2.817 1.511" Properties=species:S:1:pos:R:3 comment="PrCdSn2 | Alexandria via LeMat-Bulk | PBE-GGA | relaxed" dos_at_fermi_per_ev_cell=1.52 delta_e_f_mev_per_atom=-508 de_polymorph_mev_per_atom=0.0 pbc="T T T"
Sn -1.804 1.409 0.755
Sn -1.407 -1.940 0.258
Cd -0.717 0.234 -2.150
Pr -3.928 -0.297 -1.136

---

Record 9
5
Lattice="5.063 0.000 0.000 0.000 5.063 0.000 0.000 0.000 5.063" Properties=species:S:1:pos:R:3 comment="TlFeSn3 | Alexandria via LeMat-Bulk | PBE-GGA | relaxed" dos_at_fermi_per_ev_cell=4.28 delta_e_f_mev_per_atom=139 de_polymorph_mev_per_atom=0.0 pbc="T T T"
Sn 0.000 2.531 0.000
Sn 0.000 0.000 2.531
Sn 2.531 0.000 0.000
Fe 0.000 0.000 0.000
Tl 2.531 2.531 2.531

---

Record 10
12
Lattice="-2.068 4.433 -1.420 0.261 -2.946 -9.580 -6.071 -3.761 6.238" Properties=species:S:1:pos:R:3 comment="Pm5Ho6Th | Alexandria via LeMat-Bulk | PBE-GGA | relaxed" dos_at_fermi_per_ev_cell=16.59 delta_e_f_mev_per_atom=23 pbc="T T T"
Ho -2.106 -3.213 -6.965
Ho -5.771 0.939 2.203
Ho -5.639 -0.548 -2.634
Ho -0.970 1.495 -3.057
Ho -2.238 -1.726 -2.128
Ho -0.837 -0.008 -7.943
Pm -3.337 1.220 -0.466
Pm -4.663 -2.017 0.493
Pm -3.215 -0.257 -5.255
Pm 0.131 -1.473 -4.790
Pm -4.541 -3.494 -4.296
Th 0.000 0.000 0.000

---

Record 11
4
Lattice="4.703 0.008 0.025 3.694 2.910 0.025 1.071 0.372 5.084" Properties=species:S:1:pos:R:3 comment="Ag2AsIr | Alexandria via LeMat-Bulk | PBE-GGA | relaxed" dos_at_fermi_per_ev_cell=1.25 delta_e_f_mev_per_atom=203 pbc="T T T"
Ag 0.052 0.018 0.026
Ag 2.332 0.810 1.180
Ir 7.147 2.484 3.583
As 4.671 1.623 2.911

---

Record 12
20
Lattice="4.204 0.000 0.000 0.000 7.060 0.000 0.000 0.000 16.256" Properties=species:S:1:pos:R:3 comment="Ca2CdP2 | Alexandria via LeMat-Bulk | PBE-GGA | relaxed" delta_e_f_mev_per_atom=-902 de_polymorph_mev_per_atom=6.0 pbc="T T T"
Ca 1.051 3.926 11.627
Ca 1.051 5.040 15.400
Ca 3.153 6.664 3.499
Ca 3.153 2.021 0.856
Ca 1.051 0.396 12.757
Ca 1.051 1.509 8.984
Ca 3.153 5.551 7.272
Ca 3.153 3.134 4.629
P 3.153 1.520 6.978
P 1.051 2.010 15.106
P 3.153 5.051 1.150
P 1.051 5.186 5.075
P 1.051 5.540 9.278
P 3.153 1.875 11.181
P 1.051 1.656 3.053
P 3.153 5.405 13.203
Cd 1.051 0.752 5.668
Cd 3.153 6.308 10.588
Cd 3.153 2.778 13.796
Cd 1.051 4.282 2.460

---

Record 13
6
Lattice="-2.191 -3.798 -0.310 1.868 -3.753 1.615 -7.559 -1.547 10.316" Properties=species:S:1:pos:R:3 comment="RbTiGa | Alexandria via LeMat-Bulk | PBE-GGA | relaxed" dos_at_fermi_per_ev_cell=2.83 delta_e_f_mev_per_atom=56 de_polymorph_mev_per_atom=51.8 pbc="T T T"
Rb -1.742 -6.784 2.640
Rb -3.688 -3.391 6.180
Ti -7.617 -6.450 9.170
Ti -5.370 -5.270 9.966
Ga -7.972 -3.761 9.877
Ga -6.882 -4.206 7.644

---

Record 14
12
Lattice="-3.096 3.372 -4.285 3.696 -4.732 -1.806 -9.204 -6.861 2.785" Properties=species:S:1:pos:R:3 comment="LaPm3Y6Th2 | Alexandria via LeMat-Bulk | PBE-GGA | relaxed" dos_at_fermi_per_ev_cell=16.24 delta_e_f_mev_per_atom=22 pbc="T T T"
Y -3.265 -0.659 -1.268
Y -1.822 -2.703 -3.844
Y -0.964 -3.405 -0.428
Y -7.639 -4.816 -2.878
Y -6.781 -5.518 0.537
Y -5.338 -7.562 -2.038
La 0.000 0.000 0.000
Th -0.831 0.670 -3.459
Th 1.432 -2.030 -2.633
Pm -2.036 -6.814 -0.826
Pm -4.301 -4.110 -1.653
Pm -6.567 -1.407 -2.480

---

Record 15
8
Lattice="8.336 0.000 0.020 0.000 4.393 0.000 -0.389 0.000 4.385" Properties=species:S:1:pos:R:3 comment="TaS | Alexandria via LeMat-Bulk | PBE-GGA | relaxed" dos_at_fermi_per_ev_cell=4.82 pbc="T T T"
Ta 2.905 2.196 1.220
Ta 5.236 0.000 0.992
Ta 5.042 2.196 3.185
Ta 2.711 0.000 3.413
S 1.692 0.000 1.104
S 6.255 0.000 3.301
S 6.449 2.196 1.108
S 1.498 2.196 3.296

---

Record 16
4
Lattice="-2.703 2.406 -0.878 0.001 -1.275 -3.499 -6.612 -6.557 2.388" Properties=species:S:1:pos:R:3 comment="Sm2ThI | Alexandria via LeMat-Bulk | PBE-GGA | relaxed" dos_at_fermi_per_ev_cell=3.56 de_polymorph_mev_per_atom=73.4 pbc="T T T"
I -4.657 -2.713 -0.994
Sm -4.971 -4.930 1.795
Sm -1.641 -1.628 0.593
Th -1.351 0.565 -2.188

---

Record 17
4
Lattice="-3.138 0.839 1.562 -1.348 -3.192 -0.993 3.002 -3.773 8.053" Properties=species:S:1:pos:R:3 comment="CaSm2Mn | Alexandria via LeMat-Bulk | PBE-GGA | relaxed" dos_at_fermi_per_ev_cell=5.22 delta_e_f_mev_per_atom=156 pbc="T T T"
Sm 2.445 -3.074 6.561
Sm 0.556 -0.699 1.493
Ca -0.742 -3.063 4.311
Mn -2.243 -1.176 0.285

---

Result set for E_tot: -15.42; -18.14; -34.35; -17.92; -25.35; -64.28; -28.60; -15.73; -22.14; -58.36; -18.40; -81.00; -23.44; -72.53; -69.24; -19.70; -19.99 eV per cell, one per record in the order listed.